# 1
First-principles (meta-GGA SCAN) data for GdTiNbBi2O9 at its PBEsol-relaxed geometry, as listed in Alexandria.

Calculated values
* raw formation energy: -2.562 eV/atom
* DOS at the Fermi energy: 0.000 states/eV per atom

The structure in extended XYZ format:
```
28
Lattice="-0.004 -4.698 -2.597 5.094 -0.900 1.620 -4.266 -3.405 11.519" Properties=species:S:1:pos:R:3 pbc="T T T"
O -1.152 -5.703 1.152
O -1.683 -5.420 8.863
O -3.865 -6.571 9.936
Gd -1.741 -7.415 10.354
Bi 3.223 -4.233 5.014
O 0.869 -1.119 1.559
O 0.893 -5.258 10.016
Gd 5.074 -2.032 0.987
O 0.168 -7.922 9.052
O 3.658 -3.786 2.046
Nb -0.526 -4.477 -0.121
O -0.179 -2.919 8.706
O 1.623 -5.848 5.009
O -2.395 -7.854 8.035
O -0.934 -3.131 5.491
O -0.926 -5.460 4.160
O 3.407 -1.182 2.568
Bi -0.209 -5.157 6.226
Nb -0.796 -4.147 9.981
O 2.948 -2.124 0.053
O 1.609 -3.518 6.338
O 1.478 -3.084 3.598
Ti 2.007 -2.631 1.946
O -2.701 -5.558 6.294
Ti -3.365 -5.987 7.903
Bi 0.714 -6.349 2.818
Bi 2.389 -3.057 8.450
O 1.135 -3.957 0.910
```

# 2
First-principles (meta-GGA SCAN) data for Gd2BiO2 at its PBEsol-relaxed geometry, as listed in Alexandria.

Calculated values
* raw formation energy: -2.835 eV/atom
* DOS at the Fermi energy: 0.144 states/eV per atom

The structure in extended XYZ format:
```
5
Lattice="3.874 0.000 0.000 0.000 3.874 0.000 -1.937 -1.937 6.749" Properties=species:S:1:pos:R:3 pbc="T T T"
Gd 1.937 1.937 2.238
O 1.937 0.000 3.374
Bi 0.000 0.000 0.000
Gd 0.000 0.000 4.510
O 0.000 1.937 3.374
```

# 3
First-principles (meta-GGA SCAN) data for GeBiH3 at its PBEsol-relaxed geometry, as listed in Alexandria.

Calculated values
* uncorrected energy: -104.36 eV/cell
* DOS at the Fermi energy: 0.402 states/eV per atom

The structure in extended XYZ format:
```
5
Lattice="-1.184 0.931 3.564 2.802 -2.202 1.506 2.390 3.042 0.000" Properties=species:S:1:pos:R:3 pbc="T T T"
H -0.592 0.466 1.782
H 1.195 1.521 0.000
Ge 0.000 0.000 0.000
H 1.401 -1.101 0.753
Bi 2.004 0.886 2.535
```

# 4
First-principles (meta-GGA SCAN) data for GeBi2TeH at its PBEsol-relaxed geometry, as listed in Alexandria.

Calculated values
* uncorrected energy: -214.51 eV/cell
* DOS at the Fermi energy: 0.399 states/eV per atom

The structure in extended XYZ format:
```
5
Lattice="-1.754 2.892 -1.311 -2.700 0.775 5.323 4.524 3.550 1.777" Properties=species:S:1:pos:R:3 pbc="T T T"
Bi -1.350 0.388 2.662
Te 0.000 0.000 0.000
Ge 0.035 3.609 2.895
Bi 2.262 1.775 0.889
H -0.877 1.446 -0.656
```

# 5
First-principles (meta-GGA SCAN) data for Hf3GeBi at its PBEsol-relaxed geometry, as listed in Alexandria.

Calculated values
* ΔE_f: 1.50 eV/atom
* DOS at the Fermi energy: 1.329 states/eV per atom

The structure in extended XYZ format:
```
5
Lattice="5.268 0.000 0.000 0.000 5.268 0.000 0.000 0.000 5.268" Properties=species:S:1:pos:R:3 pbc="T T T"
Ge 2.634 2.634 2.634
Hf 0.000 2.634 0.000
Hf 0.000 0.000 2.634
Bi 0.000 0.000 0.000
Hf 2.634 0.000 0.000
```

# 6
First-principles (meta-GGA SCAN) data for Hf3GeBi at its PBEsol-relaxed geometry, as listed in Alexandria.

Calculated values
* ΔE_f: 0.32 eV/atom
* DOS at the Fermi energy: 0.929 states/eV per atom

The structure in extended XYZ format:
```
5
Lattice="-2.047 3.281 -3.083 -2.075 -3.693 -2.553 -3.996 0.237 2.905" Properties=species:S:1:pos:R:3 pbc="T T T"
Hf -1.024 1.641 -1.542
Ge 0.000 0.000 0.000
Hf -1.038 -1.847 -1.276
Bi -4.059 -0.087 -1.365
Hf -1.998 0.119 1.453
```

# 7
First-principles (meta-GGA SCAN) data for Hg3GeBi at its PBEsol-relaxed geometry, as listed in Alexandria.

Calculated values
* ΔE_f: 0.75 eV/atom
* DOS at the Fermi energy: 0.885 states/eV per atom

The structure in extended XYZ format:
```
5
Lattice="-2.183 -3.296 4.094 -3.186 -2.697 -3.869 4.181 -3.776 -0.810" Properties=species:S:1:pos:R:3 pbc="T T T"
Bi 0.000 0.000 0.000
Hg 2.090 -1.888 -0.405
Ge -0.594 -4.884 -0.293
Hg -1.593 -1.348 -1.935
Hg -1.091 -1.648 2.047
```

# 8
First-principles (meta-GGA SCAN) data for TlHgGeBi2 at its PBEsol-relaxed geometry, as listed in Alexandria.

Calculated values
* ΔE_f: 0.88 eV/atom
* DOS at the Fermi energy: 0.976 states/eV per atom

The structure in extended XYZ format:
```
5
Lattice="5.216 0.000 0.000 0.000 5.840 0.000 0.000 0.000 5.840" Properties=species:S:1:pos:R:3 pbc="T T T"
Tl 0.000 0.000 0.000
Bi 0.000 2.920 0.000
Ge 2.608 0.000 0.000
Hg 2.608 2.920 2.920
Bi 0.000 0.000 2.920
```

# 9
First-principles (meta-GGA SCAN) data for InGeBi2I at its PBEsol-relaxed geometry, as listed in Alexandria.

Calculated values
* raw formation energy: 0.424 eV/atom
* DOS at the Fermi energy: 1.226 states/eV per atom

The structure in extended XYZ format:
```
5
Lattice="5.479 0.000 0.000 0.000 5.479 0.000 0.000 0.000 5.611" Properties=species:S:1:pos:R:3 pbc="T T T"
Ge 0.000 0.000 0.000
In 0.000 0.000 2.806
I 2.740 2.740 2.806
Bi 2.740 0.000 0.000
Bi 0.000 2.740 0.000
```

# 10
First-principles (meta-GGA SCAN) data for NaGeBi2I at its PBEsol-relaxed geometry, as listed in Alexandria.

Calculated values
* raw formation energy: 0.817 eV/atom
* DOS at the Fermi energy: 1.167 states/eV per atom

The structure in extended XYZ format:
```
5
Lattice="5.463 0.000 0.000 0.000 5.463 0.000 0.000 0.000 5.472" Properties=species:S:1:pos:R:3 pbc="T T T"
Bi 2.732 0.000 0.000
Ge 2.732 2.732 2.736
I 0.000 0.000 2.736
Na 0.000 0.000 0.000
Bi 0.000 2.732 0.000
```

# 11
First-principles (meta-GGA SCAN) data for SnGe2BiI at its PBEsol-relaxed geometry, as listed in Alexandria.

Calculated values
* raw formation energy: 0.902 eV/atom
* DOS at the Fermi energy: 1.252 states/eV per atom

The structure in extended XYZ format:
```
5
Lattice="5.453 0.000 0.000 0.000 5.453 0.000 0.000 0.000 6.128" Properties=species:S:1:pos:R:3 pbc="T T T"
Bi 0.000 0.000 0.000
I 2.727 2.727 3.064
Ge 0.000 2.727 0.000
Ge 2.727 0.000 0.000
Sn 0.000 0.000 3.064
```

# 12
First-principles (meta-GGA SCAN) data for GeBiTeI2 at its PBEsol-relaxed geometry, as listed in Alexandria.

Calculated values
* raw formation energy: 0.568 eV/atom
* DOS at the Fermi energy: 0.569 states/eV per atom

The structure in extended XYZ format:
```
5
Lattice="5.922 0.000 0.000 0.000 5.922 0.000 0.000 0.000 5.953" Properties=species:S:1:pos:R:3 pbc="T T T"
I 0.000 2.961 0.000
I 2.961 0.000 0.000
Ge 2.961 2.961 2.976
Te 0.000 0.000 2.976
Bi 0.000 0.000 0.000
```